[1]
ZrAgW: relaxed, PBE.

energy above the lowest structure with this stoichiometry	0.224	eV/atom
magnetization	0.1	μB/cell
ΔH_f (0 K)	0.50	eV/atom
total energy	-45.72	eV per cell

abc: 3.457 3.457 9.457
angles: 90.00 90.00 90.00
Space group I4mm (No. 107)
Unique sites:
Zr: 0.000 0.000 0.000
Ag: 0.000 0.000 0.680
W: 0.000 0.000 0.340

[2]
ZrAgW2: relaxed, PBE.

energy above the lowest structure with this stoichiometry	0.243	eV/atom
magnetization	0.0	μB/cell
ΔH_f (0 K)	0.46	eV/atom
total energy	-70.93	eV per cell

abc: 9.632 2.760 5.426
angles: 90.00 95.14 90.00
Space group Cm (No. 8)
Unique sites:
Zr: 0.000 0.000 0.000
Ag: 0.250 0.000 0.766
W: 0.009 0.500 0.489
W: 0.256 0.500 0.286

[3]
ZrAgW2: relaxed, PBE.

energy above the lowest structure with this stoichiometry	0.150	eV/atom
magnetization	0.0	μB/cell
ΔH_f (0 K)	0.37	eV/atom
total energy	-35.84	eV per cell

abc: 2.761 2.761 9.335
angles: 90.00 90.00 90.00
Space group P4mm (No. 99)
Unique sites:
Zr: 0.000 0.000 0.000
Ag: 0.500 0.500 0.265
W: 0.000 0.000 0.504
W: 0.500 0.500 0.745

[4]
ZrAgW2: relaxed, PBE.

energy above the lowest structure with this stoichiometry	0.333	eV/atom
magnetization	0.0	μB/cell
ΔH_f (0 K)	0.55	eV/atom
total energy	-35.11	eV per cell

abc: 2.695 4.821 5.608
angles: 90.00 90.00 90.00
Space group Pmmm (No. 47)
Unique sites:
Zr: 0.000 0.000 0.000
Ag: 0.000 0.000 0.500
W: 0.500 0.500 0.238